(1)
Entry from Alexandria via LeMat-Bulk: a geometry-optimized Nd3TmPu2Te6 structure (PBE-GGA).

The value obtained for the raw formation energy is -15.47 eV per formula unit. The total magnetic moment is 23.77 μB/cell.

The structure belongs to space group C2/m (No. 12); the cell edges are 19.414, 4.415 and 8.938 Å and the angles 90.00°, 103.89° and 90.00°. The asymmetric unit holds Nd at (0.000, 0.000, 0.000), Nd at (0.169, 0.500, 0.335), Tm at (0.000, 0.000, 0.500), Pu at (0.166, 0.500, 0.833), Te at (0.000, 0.500, 0.261), Te at (0.162, 0.000, 0.585) and Te at (0.168, 0.000, 0.080).

***

(2)
Entry from Alexandria via LeMat-Bulk: a geometry-optimized Zr3ScFe structure (PBE-GGA).

The total magnetic moment is 0.09 μB/cell. Its distance to the lowest polymorph of the same formula is 1680.2 meV per atom. The calculated formation energy is 1.638 eV per atom.

The structure belongs to space group Pm-3m (No. 221); the cell edges are 4.920, 4.920 and 4.920 Å and the angles 90.00°, 90.00° and 90.00°. The asymmetric unit holds Zr at (0.000, 0.000, 0.500), Sc at (0.000, 0.000, 0.000) and Fe at (0.500, 0.500, 0.500).

***

(3)
Entry from Alexandria via LeMat-Bulk: a geometry-optimized BaBr5 structure (PBE-GGA).

The value obtained for the raw formation energy is -4.87 eV per formula unit. The total magnetic moment is 0.00 μB/cell. Its distance to the lowest polymorph of the same formula is 175.9 meV per atom.

The structure belongs to space group P6/mmm (No. 191); the cell edges are 5.7967, 5.7967 and 8.4156 Å and the angles 90.00°, 90.00° and 120.00°. The asymmetric unit holds Ba at (0.0000, 0.0000, 0.0000), Br at (0.0000, 0.5000, 0.5000) and Br at (0.3333, 0.6667, 0.0000).

***

(4)
Entry from Alexandria via LeMat-Bulk: a geometry-optimized LaTl3C structure (PBE-GGA).

The total magnetic moment is 1.21 μB/cell. Its distance to the lowest polymorph of the same formula is 1110.9 meV per atom. The calculated formation energy is 1.860 eV per atom.

The structure belongs to space group Pm-3m (No. 221); the cell edges are 6.263, 6.263 and 6.263 Å and the angles 90.00°, 90.00° and 90.00°. The asymmetric unit holds La at (0.000, 0.000, 0.000), Tl at (0.000, 0.000, 0.500) and C at (0.500, 0.500, 0.500).

***

(5)
Entry from Alexandria via LeMat-Bulk: a geometry-optimized IrRu2Rh6 structure (PBE-GGA).

The total magnetic moment is 0.00 μB/cell. Its distance to the lowest polymorph of the same formula is 160.5 meV per atom. The calculated formation energy is 0.159 eV per atom.

The structure belongs to space group C2/m (No. 12); the cell edges are 12.690, 2.705 and 9.139 Å and the angles 90.00°, 123.30° and 90.00°. The asymmetric unit holds Ir at (0.000, 0.000, 0.000), Ru at (0.157, 0.500, 0.294), Rh at (0.045, 0.000, 0.747), Rh at (0.124, 0.500, 0.550) and Rh at (0.235, 0.000, 0.111).

***

(6)
Entry from Alexandria via LeMat-Bulk: a geometry-optimized PmNd5Sm2Tm structure (PBE-GGA).

The total magnetic moment is 0.00 μB/cell. The calculated formation energy is 0.286 eV per atom.

The structure belongs to space group I4/mcm (No. 140); the cell edges are 8.866, 8.866 and 15.931 Å and the angles 90.00°, 90.00° and 90.00°. The asymmetric unit holds Pm at (0.000, 0.000, 0.250), Nd at (0.000, 0.000, 0.000), Nd at (0.210, 0.290, 0.139), Sm at (0.117, 0.383, 0.500) and Tm at (0.000, 0.500, 0.250).

***

(7)
Entry from Alexandria via LeMat-Bulk: a geometry-optimized Na3AuI structure (PBE-GGA).

The value obtained for the raw formation energy is -2.07 eV per formula unit. The total magnetic moment is 0.00 μB/cell. Its distance to the lowest polymorph of the same formula is 0.0 meV per atom.

The structure belongs to space group Pm-3m (No. 221); the cell edges are 5.650, 5.650 and 5.650 Å and the angles 90.00°, 90.00° and 90.00°. The asymmetric unit holds Na at (0.000, 0.000, 0.500), Au at (0.000, 0.000, 0.000) and I at (0.500, 0.500, 0.500).

***

(8)
Entry from Alexandria via LeMat-Bulk: a geometry-optimized Sr2BN3 structure (PBE-GGA).

The value obtained for the raw formation energy is -3.87 eV per formula unit. The total magnetic moment is 0.00 μB/cell.

The structure belongs to space group Fmmm (No. 69); the cell edges are 7.234, 9.052 and 10.320 Å and the angles 90.00°, 90.00° and 90.00°. The asymmetric unit holds Sr at (0.203, 0.000, 0.000), Sr at (0.250, 0.250, 0.250), B at (0.000, 0.000, 0.349), N at (0.000, 0.000, 0.210) and N at (0.000, 0.143, 0.425).